First-principles (GGA-PBE) data for SrZn2SiNi2 after structural relaxation, as listed in Alexandria.

Cell and atoms, written as CIF:
```
data_SrZn2SiNi2
_chemical_formula_sum 'Sr1 Zn2 Si1 Ni2'
_cell_length_a 4.321
_cell_length_b 4.321
_cell_length_c 5.935
_cell_angle_alpha 90.00
_cell_angle_beta 90.00
_cell_angle_gamma 90.00
_symmetry_space_group_name_H-M 'P 4/m m m'
_symmetry_Int_Tables_number 123
_symmetry_space_group_name_Hall '-P 4 2'
loop_
_atom_site_label
_atom_site_fract_x
_atom_site_fract_y
_atom_site_fract_z
Sr1 0.000 0.000 0.000
Zn1 0.500 0.500 0.251
Si1 0.000 0.000 0.500
Ni1 0.000 0.500 0.500
```

=====

First-principles (GGA-PBE) data for Ta2SiNi2 after structural relaxation, as listed in Alexandria.

Cell and atoms, written as CIF:
```
data_Ta2SiNi2
_chemical_formula_sum 'Ta4 Si2 Ni4'
_cell_length_a 3.227
_cell_length_b 3.227
_cell_length_c 14.449
_cell_angle_alpha 90.00
_cell_angle_beta 90.00
_cell_angle_gamma 90.00
_symmetry_space_group_name_H-M 'I 4/m m m'
_symmetry_Int_Tables_number 139
_symmetry_space_group_name_Hall '-I 4 2'
loop_
_atom_site_label
_atom_site_fract_x
_atom_site_fract_y
_atom_site_fract_z
Ta1 0.000 0.000 0.109
Si1 0.000 0.000 0.500
Ni1 0.000 0.500 0.250
```

Results
The value obtained for the offset from the most stable computed form is 33.9 kJ/mol of atoms.

=====

First-principles (GGA-PBE) data for TaSi2Ni after structural relaxation, as listed in Alexandria.

Cell and atoms, written as CIF:
```
data_TaSi2Ni
_chemical_formula_sum 'Ta2 Si4 Ni2'
_cell_length_a 3.795
_cell_length_b 4.751
_cell_length_c 6.159
_cell_angle_alpha 90.00
_cell_angle_beta 90.00
_cell_angle_gamma 90.00
_symmetry_space_group_name_H-M 'C m m m'
_symmetry_Int_Tables_number 65
_symmetry_space_group_name_Hall '-C 2 2'
loop_
_atom_site_label
_atom_site_fract_x
_atom_site_fract_y
_atom_site_fract_z
Ta1 0.000 0.000 0.000
Si1 0.000 0.500 0.291
Ni1 0.000 0.000 0.500
```

=====

First-principles (GGA-PBE) data for Ta2SiNi2 after structural relaxation, as listed in Alexandria.

Cell and atoms, written as CIF:
```
data_Ta2SiNi2
_chemical_formula_sum 'Ta4 Si2 Ni4'
_cell_length_a 6.127
_cell_length_b 6.127
_cell_length_c 3.789
_cell_angle_alpha 90.00
_cell_angle_beta 90.00
_cell_angle_gamma 90.00
_symmetry_space_group_name_H-M 'P 4/m b m'
_symmetry_Int_Tables_number 127
_symmetry_space_group_name_Hall '-P 4 2ab'
loop_
_atom_site_label
_atom_site_fract_x
_atom_site_fract_y
_atom_site_fract_z
Ta1 0.173 0.327 0.000
Si1 0.000 0.000 0.500
Ni1 0.137 0.637 0.500
```

Results
The value obtained for the offset from the most stable computed form is 0.0 kJ/mol of atoms.

=====

First-principles (GGA-PBE) data for Ta6Si7Ni16 after structural relaxation, as listed in Alexandria.

Cell and atoms, written as CIF:
```
data_Ta6Si7Ni16
_chemical_formula_sum 'Ta24 Si28 Ni64'
_cell_length_a 11.246
_cell_length_b 11.246
_cell_length_c 11.246
_cell_angle_alpha 90.00
_cell_angle_beta 90.00
_cell_angle_gamma 90.00
_symmetry_space_group_name_H-M 'F m -3 m'
_symmetry_Int_Tables_number 225
_symmetry_space_group_name_Hall '-F 4 2 3'
loop_
_atom_site_label
_atom_site_fract_x
_atom_site_fract_y
_atom_site_fract_z
Ta1 0.000 0.000 0.203
Si1 0.000 0.000 0.500
Si2 0.000 0.250 0.250
Ni1 0.117 0.117 0.383
Ni2 0.167 0.167 0.167
```

=====

First-principles (GGA-PBE) data for Ta2SiNi after structural relaxation, as listed in Alexandria.

Cell and atoms, written as CIF:
```
data_Ta2SiNi
_chemical_formula_sum 'Ta4 Si2 Ni2'
_cell_length_a 9.859
_cell_length_b 2.803
_cell_length_c 4.628
_cell_angle_alpha 90.00
_cell_angle_beta 111.44
_cell_angle_gamma 90.00
_symmetry_space_group_name_H-M 'C 1 m 1'
_symmetry_Int_Tables_number 8
_symmetry_space_group_name_Hall 'C -2y'
loop_
_atom_site_label
_atom_site_fract_x
_atom_site_fract_y
_atom_site_fract_z
Ta1 0.000 0.000 0.000
Ta2 0.213 0.000 0.646
Si1 0.258 0.500 0.176
Ni1 0.454 0.000 0.469
```

=====

First-principles (GGA-PBE) data for Ta2SiNi after structural relaxation, as listed in Alexandria.

Cell and atoms, written as CIF:
```
data_Ta2SiNi
_chemical_formula_sum 'Ta2 Si1 Ni1'
_cell_length_a 3.357
_cell_length_b 3.357
_cell_length_c 5.367
_cell_angle_alpha 90.00
_cell_angle_beta 90.00
_cell_angle_gamma 90.00
_symmetry_space_group_name_H-M 'P 4/m m m'
_symmetry_Int_Tables_number 123
_symmetry_space_group_name_Hall '-P 4 2'
loop_
_atom_site_label
_atom_site_fract_x
_atom_site_fract_y
_atom_site_fract_z
Ta1 0.000 0.000 0.248
Si1 0.500 0.500 0.000
Ni1 0.500 0.500 0.500
```

=====

First-principles (GGA-PBE) data for Ta2SiNi after structural relaxation, as listed in Alexandria.

Cell and atoms, written as CIF:
```
data_Ta2SiNi
_chemical_formula_sum 'Ta4 Si2 Ni2'
_cell_length_a 3.702
_cell_length_b 4.292
_cell_length_c 7.538
_cell_angle_alpha 90.00
_cell_angle_beta 90.00
_cell_angle_gamma 90.00
_symmetry_space_group_name_H-M 'C m m m'
_symmetry_Int_Tables_number 65
_symmetry_space_group_name_Hall '-C 2 2'
loop_
_atom_site_label
_atom_site_fract_x
_atom_site_fract_y
_atom_site_fract_z
Ta1 0.000 0.000 0.248
Si1 0.000 0.500 0.500
Ni1 0.000 0.500 0.000
```

=====

First-principles (GGA-PBE) data for Ta2SiNi after structural relaxation, as listed in Alexandria.

Cell and atoms, written as CIF:
```
data_Ta2SiNi
_chemical_formula_sum 'Ta6 Si3 Ni3'
_cell_length_a 2.8527
_cell_length_b 2.8527
_cell_length_c 26.2885
_cell_angle_alpha 90.00
_cell_angle_beta 90.00
_cell_angle_gamma 120.00
_symmetry_space_group_name_H-M 'R 3 m'
_symmetry_Int_Tables_number 160
_symmetry_space_group_name_Hall 'R 3 -2"'
loop_
_atom_site_label
_atom_site_fract_x
_atom_site_fract_y
_atom_site_fract_z
Ta1 0.0000 0.0000 0.0000
Ta2 0.0000 0.0000 0.2351
Si1 0.0000 0.0000 0.7521
Ni1 0.0000 0.0000 0.4855
```

=====

First-principles (GGA-PBE) data for Ta2SiNi after structural relaxation, as listed in Alexandria.

Cell and atoms, written as CIF:
```
data_Ta2SiNi
_chemical_formula_sum 'Ta4 Si2 Ni2'
_cell_length_a 3.754
_cell_length_b 4.268
_cell_length_c 7.445
_cell_angle_alpha 90.00
_cell_angle_beta 90.00
_cell_angle_gamma 90.00
_symmetry_space_group_name_H-M 'C m m 2'
_symmetry_Int_Tables_number 35
_symmetry_space_group_name_Hall 'C 2 -2'
loop_
_atom_site_label
_atom_site_fract_x
_atom_site_fract_y
_atom_site_fract_z
Ta1 0.000 0.000 0.000
Ta2 0.000 0.500 0.315
Si1 0.000 0.000 0.570
Ni1 0.000 0.500 0.740
```

=====

First-principles (GGA-PBE) data for TaSi2Ni after structural relaxation, as listed in Alexandria.

Cell and atoms, written as CIF:
```
data_TaSi2Ni
_chemical_formula_sum 'Ta1 Si2 Ni1'
_cell_length_a 2.746
_cell_length_b 4.275
_cell_length_c 4.742
_cell_angle_alpha 90.00
_cell_angle_beta 90.00
_cell_angle_gamma 90.00
_symmetry_space_group_name_H-M 'P m m 2'
_symmetry_Int_Tables_number 25
_symmetry_space_group_name_Hall 'P 2 -2'
loop_
_atom_site_label
_atom_site_fract_x
_atom_site_fract_y
_atom_site_fract_z
Ta1 0.000 0.000 0.000
Si1 0.500 0.000 0.504
Si2 0.500 0.500 0.223
Ni1 0.500 0.500 0.728
```

=====

First-principles (GGA-PBE) data for TaSi2Ni after structural relaxation, as listed in Alexandria.

Cell and atoms, written as CIF:
```
data_TaSi2Ni
_chemical_formula_sum 'Ta2 Si4 Ni2'
_cell_length_a 3.425
_cell_length_b 3.613
_cell_length_c 8.899
_cell_angle_alpha 90.00
_cell_angle_beta 90.00
_cell_angle_gamma 90.00
_symmetry_space_group_name_H-M 'I m m 2'
_symmetry_Int_Tables_number 44
_symmetry_space_group_name_Hall 'I 2 -2'
loop_
_atom_site_label
_atom_site_fract_x
_atom_site_fract_y
_atom_site_fract_z
Ta1 0.000 0.000 0.000
Si1 0.000 0.000 0.437
Si2 0.000 0.500 0.228
Ni1 0.000 0.500 0.753
```

=====

First-principles (GGA-PBE) data for TaSi4Ni after structural relaxation, as listed in Alexandria.

Cell and atoms, written as CIF:
```
data_TaSi4Ni
_chemical_formula_sum 'Ta4 Si16 Ni4'
_cell_length_a 6.854
_cell_length_b 6.854
_cell_length_c 6.854
_cell_angle_alpha 90.00
_cell_angle_beta 90.00
_cell_angle_gamma 90.00
_symmetry_space_group_name_H-M 'F -4 3 m'
_symmetry_Int_Tables_number 216
_symmetry_space_group_name_Hall 'F -4 2 3'
loop_
_atom_site_label
_atom_site_fract_x
_atom_site_fract_y
_atom_site_fract_z
Ta1 0.000 0.000 0.000
Si1 0.124 0.124 0.376
Ni1 0.250 0.250 0.750
```

=====

First-principles (GGA-PBE) data for Ta2SiNi3 after structural relaxation, as listed in Alexandria.

Cell and atoms, written as CIF:
```
data_Ta2SiNi3
_chemical_formula_sum 'Ta4 Si2 Ni6'
_cell_length_a 4.8608
_cell_length_b 4.8608
_cell_length_c 7.6678
_cell_angle_alpha 90.00
_cell_angle_beta 90.00
_cell_angle_gamma 120.00
_symmetry_space_group_name_H-M 'P 63/m m c'
_symmetry_Int_Tables_number 194
_symmetry_space_group_name_Hall '-P 6c 2c'
loop_
_atom_site_label
_atom_site_fract_x
_atom_site_fract_y
_atom_site_fract_z
Ta1 0.3333 0.6667 0.0571
Si1 0.0000 0.0000 0.0000
Ni1 0.1690 0.3380 0.7500
```

=====

First-principles (GGA-PBE) data for Ta2SiNi after structural relaxation, as listed in Alexandria.

Cell and atoms, written as CIF:
```
data_Ta2SiNi
_chemical_formula_sum 'Ta2 Si1 Ni1'
_cell_length_a 2.830
_cell_length_b 2.830
_cell_length_c 7.425
_cell_angle_alpha 90.00
_cell_angle_beta 90.00
_cell_angle_gamma 90.00
_symmetry_space_group_name_H-M 'P 4 m m'
_symmetry_Int_Tables_number 99
_symmetry_space_group_name_Hall 'P 4 -2'
loop_
_atom_site_label
_atom_site_fract_x
_atom_site_fract_y
_atom_site_fract_z
Ta1 0.000 0.000 0.000
Ta2 0.500 0.500 0.320
Si1 0.500 0.500 0.744
Ni1 0.000 0.000 0.582
```

=====

First-principles (GGA-PBE) data for Ta2SiNi after structural relaxation, as listed in Alexandria.

Cell and atoms, written as CIF:
```
data_Ta2SiNi
_chemical_formula_sum 'Ta2 Si1 Ni1'
_cell_length_a 3.428
_cell_length_b 3.617
_cell_length_c 5.139
_cell_angle_alpha 90.00
_cell_angle_beta 109.48
_cell_angle_gamma 90.00
_symmetry_space_group_name_H-M 'P 1 m 1'
_symmetry_Int_Tables_number 6
_symmetry_space_group_name_Hall 'P -2y'
loop_
_atom_site_label
_atom_site_fract_x
_atom_site_fract_y
_atom_site_fract_z
Ta1 0.000 0.000 0.000
Ta2 0.312 0.500 0.627
Si1 0.724 0.000 0.450
Ni1 0.585 0.500 0.167
```

=====

First-principles (GGA-PBE) data for TaSi2Ni after structural relaxation, as listed in Alexandria.

Cell and atoms, written as CIF:
```
data_TaSi2Ni
_chemical_formula_sum 'Ta1 Si2 Ni1'
_cell_length_a 3.930
_cell_length_b 3.930
_cell_length_c 3.513
_cell_angle_alpha 90.00
_cell_angle_beta 90.00
_cell_angle_gamma 90.00
_symmetry_space_group_name_H-M 'P 4/m m m'
_symmetry_Int_Tables_number 123
_symmetry_space_group_name_Hall '-P 4 2'
loop_
_atom_site_label
_atom_site_fract_x
_atom_site_fract_y
_atom_site_fract_z
Ta1 0.000 0.000 0.000
Si1 0.000 0.500 0.500
Ni1 0.500 0.500 0.000
```

=====

First-principles (GGA-PBE) data for Ta2SiNi after structural relaxation, as listed in Alexandria.

Cell and atoms, written as CIF:
```
data_Ta2SiNi
_chemical_formula_sum 'Ta2 Si1 Ni1'
_cell_length_a 3.352
_cell_length_b 3.352
_cell_length_c 5.491
_cell_angle_alpha 90.00
_cell_angle_beta 90.00
_cell_angle_gamma 90.00
_symmetry_space_group_name_H-M 'P 4 m m'
_symmetry_Int_Tables_number 99
_symmetry_space_group_name_Hall 'P 4 -2'
loop_
_atom_site_label
_atom_site_fract_x
_atom_site_fract_y
_atom_site_fract_z
Ta1 0.000 0.000 0.000
Ta2 0.500 0.500 0.286
Si1 0.500 0.500 0.769
Ni1 0.000 0.000 0.523
```

=====

First-principles (GGA-PBE) data for TaSi2Ni after structural relaxation, as listed in Alexandria.

Cell and atoms, written as CIF:
```
data_TaSi2Ni
_chemical_formula_sum 'Ta1 Si2 Ni1'
_cell_length_a 2.947
_cell_length_b 2.947
_cell_length_c 6.215
_cell_angle_alpha 90.00
_cell_angle_beta 90.00
_cell_angle_gamma 90.00
_symmetry_space_group_name_H-M 'P 4/m m m'
_symmetry_Int_Tables_number 123
_symmetry_space_group_name_Hall '-P 4 2'
loop_
_atom_site_label
_atom_site_fract_x
_atom_site_fract_y
_atom_site_fract_z
Ta1 0.000 0.000 0.000
Si1 0.500 0.500 0.290
Ni1 0.000 0.000 0.500
```

=====

First-principles (GGA-PBE) data for TaSi2Ni after structural relaxation, as listed in Alexandria.

Cell and atoms, written as CIF:
```
data_TaSi2Ni
_chemical_formula_sum 'Ta3 Si6 Ni3'
_cell_length_a 2.8836
_cell_length_b 2.8836
_cell_length_c 23.8052
_cell_angle_alpha 90.00
_cell_angle_beta 90.00
_cell_angle_gamma 120.00
_symmetry_space_group_name_H-M 'R 3 m'
_symmetry_Int_Tables_number 160
_symmetry_space_group_name_Hall 'R 3 -2"'
loop_
_atom_site_label
_atom_site_fract_x
_atom_site_fract_y
_atom_site_fract_z
Ta1 0.0000 0.0000 0.0000
Si1 0.0000 0.0000 0.2442
Si2 0.0000 0.0000 0.4952
Ni1 0.0000 0.0000 0.7595
```

=====

The evaluated ΔE_f (raw) for the records listed, in turn: -231.9; 43.6; -259.5; -307.3; -604.3; -281.6; -188.9; -207.3; -0.2; -250.2; -275.5; -384.6; 185.9; -469.1; -240.5; -487.1; -258.7; -168.4; -177.8; -48.1 meV/atom.
The evaluated total DFT energy (no corrections) for the records listed, in turn: -3.7678; -8.0946; -7.3795; -8.4455; -7.5553; -9.0090; -8.9163; -8.9347; -8.7276; -8.9776; -7.3955; -7.5046; -6.3684; -8.2144; -8.9679; -9.2145; -7.3787; -8.8958; -7.2978; -7.1681 eV per atom.